# PBE-GGA HoNpSi3, relaxed
data_HoNpSi3
_cell_length_a 4.091
_cell_length_b 24.447
_cell_length_c 3.914
_cell_angle_alpha 90.00
_cell_angle_beta 90.00
_cell_angle_gamma 90.00
_space_group_name_H-M_alt 'C m c m'
_space_group_IT_number 63
_space_group_name_Hall '-C 2c 2'
loop_
_atom_site_label
_atom_site_type_symbol
_atom_site_fract_x
_atom_site_fract_y
_atom_site_fract_z
_atom_site_occupancy
Ho1 Ho 0.000 0.203 0.250 1
Np1 Np 0.000 0.070 0.750 1
Si1 Si 0.000 0.324 0.250 1
Si2 Si 0.000 0.382 0.750 1
Si3 Si 0.000 0.476 0.750 1
# * crystal system: orthorhombic
# * calculated density: 8.25 g/cm3
# * DOS at the Fermi energy: 29.9 states/eV/cell
# * total energy: -7.2299 eV/atom